Density functional theory data (PBE) for a relaxed structure of ZrTeO3.

abc: 4.1676 4.1676 4.1676
angles: 90.00 90.00 90.00
Space group Pm-3m (No. 221)
One atom of each set of equivalent atoms:
Zr: 0.0000 0.0000 0.0000 (multiplicity 1)
Te: 0.5000 0.5000 0.5000 (multiplicity 1)
O: 0.0000 0.0000 0.5000 (multiplicity 3)

Summary:
Uncorrected energy   -34.82 eV for the cell shown
Formation energy from raw total energies   -1.6506 eV/atom

Density functional theory data (PBE) for a relaxed structure of Sm4ThIn.

abc: 9.0725 14.3679 6.4163
angles: 90.00 111.50 90.00
Space group C2/c (No. 15)
One atom of each set of equivalent atoms:
Sm: 0.1057 0.1868 0.0601 (multiplicity 8)
Sm: 0.2089 0.3990 0.3580 (multiplicity 8)
Th: 0.0000 0.3907 0.7500 (multiplicity 4)
In: 0.0000 0.0015 0.7500 (multiplicity 4)

Summary:
Uncorrected energy   -116.95 eV for the cell shown
Formation energy from the elements   -0.034 eV/atom

Density functional theory data (PBE) for a relaxed structure of Re2NiAs.

abc: 2.8046 3.9645 5.2995
angles: 90.00 102.02 90.00
Space group P2/m (No. 10)
One atom of each set of equivalent atoms:
Re: 0.1382 0.0000 0.2421 (multiplicity 2)
Ni: 0.5000 0.5000 0.0000 (multiplicity 1)
As: 0.5000 0.5000 0.5000 (multiplicity 1)

Summary:
Uncorrected energy   -33.96 eV for the cell shown
Formation energy from the elements   0.341 eV/atom